# 1
A plane-wave DFT calculation with GGA-PBE was carried out for crystalline Nd2GaBi at its relaxed geometry.

- formation energy (eV per formula unit) = -2.38
- energy above the most stable polymorph in this dataset (eV/atom) = 0.116

Cell lengths 4.3740, 4.3740, 22.9742 Å; angles 90.00, 90.00, 120.00 degrees
Space group R-3m (No. 166, hexagonal axes)
Unique sites:
Nd 0.0000 0.0000 0.2482 [6 per cell]
Ga 0.0000 0.0000 0.5000 [3 per cell]
Bi 0.0000 0.0000 0.0000 [3 per cell]

# 2
A plane-wave DFT calculation with GGA-PBE was carried out for crystalline MgCd2Cu2Pt5 at its relaxed geometry.

- formation energy (eV per formula unit) = -3.07

Cell lengths 9.071, 9.071, 4.016 Å; angles 90.00, 90.00, 90.00 degrees
Space group P4/mbm (No. 127)
Unique sites:
Mg 0.000 0.000 0.000 [2 per cell]
Cd 0.172 0.328 0.000 [4 per cell]
Cu 0.123 0.623 0.000 [4 per cell]
Pt 0.000 0.500 0.500 [2 per cell]
Pt 0.078 0.801 0.500 [8 per cell]

# 3
A plane-wave DFT calculation with GGA-PBE was carried out for crystalline Sn6BrF8 at its relaxed geometry.

Cell lengths 7.4070, 7.4070, 19.2197 Å; angles 90.00, 90.00, 120.00 degrees
Space group R-3 (No. 148, hexagonal axes)
Unique sites:
Sn 0.0334 0.4292 0.4163 [18 per cell]
Br 0.0000 0.0000 0.5000 [3 per cell]
F 0.0000 0.0000 0.0928 [6 per cell]
F 0.0123 0.3210 0.6377 [18 per cell]

# 4
A plane-wave DFT calculation with GGA-PBE was carried out for crystalline C23S4 at its relaxed geometry.

Cell lengths 7.135, 7.135, 7.135 Å; angles 90.00, 90.00, 90.00 degrees
Space group Pm-3n (No. 223)
Unique sites:
C 0.000 0.132 0.302 [24 per cell]
C 0.000 0.250 0.500 [6 per cell]
C 0.186 0.186 0.186 [16 per cell]
S 0.000 0.000 0.000 [2 per cell]
S 0.000 0.500 0.250 [6 per cell]

# 5
A plane-wave DFT calculation with GGA-PBE was carried out for crystalline LaNd5Dy4 at its relaxed geometry.

- formation energy (eV per formula unit) = 1.53
- energy above the most stable polymorph in this dataset (eV/atom) = 0.138

Cell lengths 18.312, 3.610, 10.653 Å; angles 90.00, 96.30, 90.00 degrees
Space group C2/m (No. 12)
Unique sites:
La 0.000 0.000 0.000 [2 per cell]
Nd 0.000 0.000 0.500 [2 per cell]
Nd 0.142 0.500 0.234 [4 per cell]
Nd 0.190 0.500 0.598 [4 per cell]
Dy 0.047 0.500 0.759 [4 per cell]
Dy 0.183 0.000 0.910 [4 per cell]

# 6
A plane-wave DFT calculation with GGA-PBE was carried out for crystalline NaPu2Hg3 at its relaxed geometry.

- formation energy (eV per formula unit) = -0.81

Cell lengths 3.449, 3.449, 12.943 Å; angles 90.00, 90.00, 90.00 degrees
Space group P4/mmm (No. 123)
Unique sites:
Na 0.000 0.000 0.000 [1 per cell]
Pu 0.000 0.000 0.331 [2 per cell]
Hg 0.500 0.500 0.164 [2 per cell]
Hg 0.500 0.500 0.500 [1 per cell]

# 7
A plane-wave DFT calculation with GGA-PBE was carried out for crystalline TaMoSe2N at its relaxed geometry.

- energy above the most stable polymorph in this dataset (eV/atom) = 0.192

Cell lengths 5.067, 5.067, 3.729 Å; angles 90.00, 90.00, 90.00 degrees
Space group P4/mmm (No. 123)
Unique sites:
Ta 0.000 0.000 0.000 [1 per cell]
Mo 0.500 0.500 0.500 [1 per cell]
Se 0.000 0.500 0.500 [2 per cell]
N 0.500 0.500 0.000 [1 per cell]

# 8
A plane-wave DFT calculation with GGA-PBE was carried out for crystalline RbSnP2S8 at its relaxed geometry.

Cell lengths 6.0382, 6.0382, 29.5200 Å; angles 90.00, 90.00, 120.00 degrees
Space group R-3 (No. 148, hexagonal axes)
Unique sites:
Rb 0.0000 0.0000 0.0000 [3 per cell]
Sn 0.0000 0.0000 0.5000 [3 per cell]
P 0.0000 0.0000 0.2401 [6 per cell]
S 0.0000 0.0000 0.3080 [6 per cell]
S 0.0048 0.3526 0.5535 [18 per cell]

Respective N(E_F) values: 0.840 0.310 0.548 0.421 1.609 2.418 1.066 1.109 states/eV/atom.
Respective calculated total energy values: -56.5 -89.8 -195.7 -376.0 -91.3 -31.7 -34.8 -157.0 eV for the cell shown.